[1]
VASP calculation (PBE) on a relaxed structure of Cs2KCuP.

energy of formation	-0.006	eV/atom
total energy	-2.47	eV/atom
crystal system	tetragonal
volume	44.4	A^3/atom
space group	No. 123

a = 7.1348 Å, b = 7.1348 Å, c = 4.3651 Å
α = 90.00°, β = 90.00°, γ = 90.00°
Atoms (fractional coordinates):
Cs: 0.0000 0.5000 0.0000
Cs: 0.5000 0.0000 0.0000
P: 0.0000 0.0000 0.5000
K: 0.5000 0.5000 0.5000
Cu: 0.0000 0.0000 0.0000

[2]
VASP calculation (PBE) on a relaxed structure of CsKCuSe2.

uncorrected formation energy	-659	meV per atom
total energy	-3.26	eV/atom
crystal system	orthorhombic
volume	31.6	A^3/atom
space group	No. 51

a = 7.0599 Å, b = 5.6052 Å, c = 7.9823 Å
α = 90.00°, β = 90.00°, γ = 90.00°
Atoms (fractional coordinates):
Cs: 0.2180 0.2500 0.5000
Cs: 0.7820 0.7500 0.5000
K: 0.6075 0.7500 0.0000
K: 0.3925 0.2500 0.0000
Cu: 0.0000 0.0000 0.0000
Cu: 0.0000 0.5000 0.0000
Se: 0.8145 0.2500 0.7949
Se: 0.8145 0.2500 0.2051
Se: 0.1855 0.7500 0.7949
Se: 0.1855 0.7500 0.2051

[3]
VASP calculation (PBE) on a relaxed structure of CsK2CuSn.

energy of formation	0.045	eV/atom
total energy	-2.18	eV/atom
crystal system	tetragonal
volume	40.0	A^3/atom
space group	No. 123

a = 6.3244 Å, b = 6.3244 Å, c = 4.9998 Å
α = 90.00°, β = 90.00°, γ = 90.00°
Atoms (fractional coordinates):
Cs: 0.5000 0.5000 0.5000
K: 0.0000 0.5000 0.0000
K: 0.5000 0.0000 0.0000
Sn: 0.0000 0.0000 0.5000
Cu: 0.0000 0.0000 0.0000

[4]
VASP calculation (PBE) on a relaxed structure of CsKSr2Cu.

energy of formation	0.146	eV/atom
energy above the most stable polymorph in this dataset	0.006	eV per atom
total energy	-1.74	eV/atom
crystal system	tetragonal
volume	54.8	A^3/atom
space group	No. 123

a = 6.2295 Å, b = 6.2295 Å, c = 7.0569 Å
α = 90.00°, β = 90.00°, γ = 90.00°
Atoms (fractional coordinates):
Cs: 0.5000 0.5000 0.5000
Sr: 0.0000 0.5000 0.0000
Sr: 0.5000 0.0000 0.0000
K: 0.0000 0.0000 0.5000
Cu: 0.0000 0.0000 0.0000

[5]
VASP calculation (PBE) on a relaxed structure of CsKSr2Cu.

energy of formation	0.140	eV/atom
energy above the most stable polymorph in this dataset	0.000	eV per atom
total energy	-1.74	eV/atom
crystal system	tetragonal
volume	55.7	A^3/atom
space group	No. 123

a = 6.2528 Å, b = 6.2528 Å, c = 7.1214 Å
α = 90.00°, β = 90.00°, γ = 90.00°
Atoms (fractional coordinates):
Cs: 0.0000 0.0000 0.5000
Sr: 0.0000 0.5000 0.0000
Sr: 0.5000 0.0000 0.0000
K: 0.5000 0.5000 0.5000
Cu: 0.0000 0.0000 0.0000

[6]
VASP calculation (PBE) on a relaxed structure of CsK2TlCu.

energy of formation	0.139	eV/atom
energy above the most stable polymorph in this dataset	0.000	eV per atom
total energy	-1.76	eV/atom
crystal system	tetragonal
volume	46.8	A^3/atom
space group	No. 123

a = 6.7084 Å, b = 6.7084 Å, c = 5.1960 Å
α = 90.00°, β = 90.00°, γ = 90.00°
Atoms (fractional coordinates):
Cs: 0.5000 0.5000 0.5000
Tl: 0.0000 0.0000 0.5000
K: 0.0000 0.5000 0.0000
K: 0.5000 0.0000 0.0000
Cu: 0.0000 0.0000 0.0000

[7]
VASP calculation (PBE) on a relaxed structure of CsK2TlCu.

energy of formation	0.204	eV/atom
energy above the most stable polymorph in this dataset	0.065	eV per atom
total energy	-1.70	eV/atom
crystal system	tetragonal
volume	50.5	A^3/atom
space group	No. 123

a = 6.9836 Å, b = 6.9836 Å, c = 5.1759 Å
α = 90.00°, β = 90.00°, γ = 90.00°
Atoms (fractional coordinates):
Cs: 0.5000 0.5000 0.5000
Tl: 0.0000 0.0000 0.0000
K: 0.0000 0.5000 0.0000
K: 0.5000 0.0000 0.0000
Cu: 0.0000 0.0000 0.5000

[8]
VASP calculation (PBE) on a relaxed structure of CsKTlCu2.

energy of formation	0.765	eV/atom
total energy	-1.74	eV/atom
crystal system	tetragonal
volume	45.4	A^3/atom
space group	No. 123

a = 6.0205 Å, b = 6.2602 Å, c = 6.0205 Å
α = 90.00°, β = 90.00°, γ = 90.00°
Atoms (fractional coordinates):
Cs: 0.5000 0.5000 0.5000
Tl: 0.0000 0.5000 0.0000
K: 0.0000 0.0000 0.0000
Cu: 0.0000 0.0000 0.5000
Cu: 0.5000 0.0000 0.0000

[9]
VASP calculation (PBE) on a relaxed structure of CsKTl2Cu.

energy of formation	0.121	eV/atom
total energy	-2.03	eV/atom
crystal system	tetragonal
volume	37.8	A^3/atom
space group	No. 123

a = 5.4832 Å, b = 5.4832 Å, c = 6.2909 Å
α = 90.00°, β = 90.00°, γ = 90.00°
Atoms (fractional coordinates):
Cs: 0.5000 0.5000 0.5000
Tl: 0.0000 0.5000 0.0000
Tl: 0.5000 0.0000 0.0000
K: 0.0000 0.0000 0.5000
Cu: 0.0000 0.0000 0.0000

[10]
VASP calculation (PBE) on a relaxed structure of CsKZnCu2.

energy of formation	0.915	eV/atom
total energy	-1.37	eV/atom
crystal system	tetragonal
volume	49.5	A^3/atom
space group	No. 123

a = 5.9770 Å, b = 6.9261 Å, c = 5.9770 Å
α = 90.00°, β = 90.00°, γ = 90.00°
Atoms (fractional coordinates):
Cs: 0.0000 0.5000 0.0000
Zn: 0.5000 0.5000 0.5000
K: 0.0000 0.0000 0.0000
Cu: 0.0000 0.0000 0.5000
Cu: 0.5000 0.0000 0.0000

[11]
VASP calculation (PBE) on a relaxed structure of CsLa2Cu2.

energy of formation	0.205	eV/atom
energy above the most stable polymorph in this dataset	0.000	eV per atom
total energy	-3.58	eV/atom
crystal system	tetragonal
volume	28.7	A^3/atom
space group	No. 127

a = 8.9136 Å, b = 8.9136 Å, c = 3.6102 Å
α = 90.00°, β = 90.00°, γ = 90.00°
Atoms (fractional coordinates):
Cs: 0.0000 0.0000 0.0000
Cs: 0.5000 0.5000 0.0000
Cu: 0.1400 0.6400 0.5000
Cu: 0.6400 0.8600 0.5000
Cu: 0.8600 0.3600 0.5000
Cu: 0.3600 0.1400 0.5000
La: 0.3603 0.8603 0.0000
La: 0.8603 0.6397 0.0000
La: 0.6397 0.1397 0.0000
La: 0.1397 0.3603 0.0000

[12]
VASP calculation (PBE) on a relaxed structure of CsLa3Cu.

energy of formation	0.345	eV/atom
energy above the most stable polymorph in this dataset	0.000	eV per atom
total energy	-3.60	eV/atom
crystal system	cubic
volume	41.0	A^3/atom
space group	No. 221

a = 5.8984 Å, b = 5.8984 Å, c = 5.8984 Å
α = 90.00°, β = 90.00°, γ = 90.00°
Site moments in Bohr magnetons follow the coordinates.
Atoms (fractional coordinates):
Cs: 0.5000 0.5000 0.5000  0.02
Cu: 0.0000 0.0000 0.0000  0.04
La: 0.0000 0.5000 0.0000  0.12
La: 0.0000 0.0000 0.5000  0.10
La: 0.5000 0.0000 0.0000  0.16